A relaxed structure of Tb8NdSn6. Source: the Alexandria database, functional PBE.

ΔE_f: -0.5517 eV per atom
energy: -4.94 eV/atom

a = 9.110 Å, b = 9.110 Å, c = 8.368 Å
α = 57.02°, β = 57.02°, γ = 60.00°
Positions (direct):
Tb1 0.564 0.225 0.318
Tb2 0.775 0.107 0.682
Tb3 0.107 0.436 0.682
Tb4 0.667 0.667 0.999
Tb5 0.333 0.333 0.001
Tb6 0.893 0.564 0.318
Tb7 0.225 0.893 0.318
Tb8 0.436 0.775 0.682
Nd1 0.000 0.000 0.000
Sn1 0.406 0.067 0.797
Sn2 0.933 0.270 0.203
Sn3 0.270 0.594 0.203
Sn4 0.730 0.406 0.797
Sn5 0.067 0.730 0.797
Sn6 0.594 0.933 0.203

A relaxed structure of TbNdSn. Source: the Alexandria database, functional PBE.

ΔE_f: -0.5870 eV per atom
energy: -5.05 eV/atom
distance to the lowest polymorph of the same formula: 25 meV/atom

a = 4.610 Å, b = 8.277 Å, c = 9.761 Å
α = 90.00°, β = 90.00°, γ = 90.00°
Last column: magnetic moment on the atom in μB.
Positions (direct):
Tb1 0.750 0.134 0.566  0.48
Tb2 0.250 0.366 0.066  0.48
Tb3 0.250 0.866 0.434  0.48
Tb4 0.750 0.634 0.934  0.48
Nd1 0.750 0.040 0.168  0.31
Nd2 0.250 0.460 0.668  0.31
Nd3 0.250 0.960 0.832  0.31
Nd4 0.750 0.540 0.332  0.31
Sn1 0.750 0.750 0.631  -0.02
Sn2 0.250 0.750 0.131  -0.02
Sn3 0.250 0.250 0.369  -0.02
Sn4 0.750 0.250 0.869  -0.02

A relaxed structure of Tb2NdSn. Source: the Alexandria database, functional PBE.

ΔE_f: -0.4298 eV per atom
energy: -4.94 eV/atom
distance to the lowest polymorph of the same formula: 0 meV/atom

a = 4.849 Å, b = 4.880 Å, c = 4.880 Å
α = 90.00°, β = 90.00°, γ = 90.00°
Positions (direct):
Nd1 0.500 0.500 0.500
Tb1 0.000 0.000 0.500
Tb2 0.000 0.500 0.000
Sn1 0.500 0.000 0.000

A relaxed structure of TbNdSnTe. Source: the Alexandria database, functional PBE.

energy: -5.22 eV/atom

a = 4.461 Å, b = 4.461 Å, c = 7.777 Å
α = 73.33°, β = 73.33°, γ = 60.00°
Positions (direct):
Tb1 0.441 0.441 0.678
Nd1 0.948 0.948 0.157
Sn1 0.697 0.697 0.910
Te1 0.191 0.191 0.426

A relaxed structure of TbNdZnSn. Source: the Alexandria database, functional PBE.

ΔE_f: -0.5110 eV per atom
energy: -4.18 eV/atom

a = 5.278 Å, b = 5.278 Å, c = 5.278 Å
α = 60.00°, β = 60.00°, γ = 60.00°
Positions (direct):
Nd1 0.750 0.750 0.750
Zn1 0.500 0.500 0.500
Tb1 0.250 0.250 0.250
Sn1 0.000 0.000 0.000

A relaxed structure of Nd2TcSn8. Source: the Alexandria database, functional PBE.

ΔE_f: -0.3588 eV per atom
energy: -5.08 eV/atom

a = 4.780 Å, b = 4.780 Å, c = 12.343 Å
α = 90.00°, β = 90.00°, γ = 90.00°
Positions (direct):
Nd1 0.000 0.000 0.304
Nd2 0.000 0.000 0.696
Tc1 0.000 0.000 0.000
Sn1 0.000 0.500 0.500
Sn2 0.500 0.000 0.500
Sn3 0.500 0.500 0.309
Sn4 0.500 0.500 0.691
Sn5 0.000 0.500 0.121
Sn6 0.500 0.000 0.121
Sn7 0.000 0.500 0.879
Sn8 0.500 0.000 0.879

A relaxed structure of NdTc2Sn7. Source: the Alexandria database, functional PBE.

ΔE_f: 0.0714 eV per atom
energy: -5.28 eV/atom

a = 5.094 Å, b = 7.558 Å, c = 7.558 Å
α = 103.99°, β = 90.00°, γ = 90.00°
Positions (direct):
Nd1 0.000 0.000 0.000
Tc1 0.500 0.715 0.285
Tc2 0.500 0.285 0.715
Sn1 0.000 0.710 0.290
Sn2 0.000 0.290 0.710
Sn3 0.500 0.086 0.332
Sn4 0.500 0.914 0.668
Sn5 0.500 0.332 0.086
Sn6 0.500 0.668 0.914
Sn7 0.500 0.500 0.500

A relaxed structure of Nd4TcSn. Source: the Alexandria database, functional PBE.

ΔE_f: -0.2800 eV per atom
energy: -5.85 eV/atom

a = 6.364 Å, b = 8.156 Å, c = 8.156 Å
α = 114.19°, β = 100.27°, γ = 100.27°
Positions (direct):
Nd1 0.882 0.641 0.789
Nd2 0.051 0.941 0.279
Nd3 0.618 0.211 0.359
Nd4 0.449 0.721 0.059
Nd5 0.551 0.279 0.941
Nd6 0.382 0.789 0.641
Nd7 0.949 0.059 0.721
Nd8 0.118 0.359 0.211
Tc1 0.250 0.001 0.999
Tc2 0.750 0.999 0.001
Sn1 0.750 0.625 0.375
Sn2 0.250 0.375 0.625